1.
VASP calculation (PBEsol) on an optimized crystal structure of NbSb2Mo.

Values from the calculation:
Raw total energy in eV per atom: -7.40
Volume in A^3/atom: 20.81
N(E_F) in states/eV per cell: 6.6
Energy relative to the elements, uncorrected in eV/atom: 0.530
Calculated density in Mg/m³: 8.62
Space-group type: No. 122

Lattice parameters (Å, degrees): 10.0762 10.0762 10.0762 156.19 156.19 33.92
Fractional positions:
Nb 0.0000 0.0000 0.0000
Nb 0.7500 0.2500 0.5000
Sb 0.1308 0.6250 0.0058
Sb 0.3750 0.3808 0.5058
Sb 0.6192 0.1250 0.9942
Sb 0.8750 0.8692 0.4942
Mo 0.2500 0.7500 0.5000
Mo 0.5000 0.5000 0.0000

=====

2.
VASP calculation (PBEsol) on an optimized crystal structure of ScNbMo2.

Values from the calculation:
Raw total energy in eV per atom: -10.09
Volume in A^3/atom: 16.75
N(E_F) in states/eV per cell: 5.9
Calculated density in Mg/m³: 8.17
Space-group type: No. 225

Lattice parameters (Å, degrees): 4.5592 4.5592 4.5592 60.00 60.00 60.00
Fractional positions:
Sc 0.0000 0.0000 0.0000
Nb 0.5000 0.5000 0.5000
Mo 0.2500 0.2500 0.2500
Mo 0.7500 0.7500 0.7500

=====

3.
VASP calculation (PBEsol) on an optimized crystal structure of NbMoSe4.

Values from the calculation:
Raw total energy in eV per atom: -7.11
Volume in A^3/atom: 20.42
N(E_F) in states/eV per cell: 3.3
Energy relative to the elements, uncorrected in eV/atom: -0.776
Calculated density in Mg/m³: 6.84
Space-group type: No. 187

Lattice parameters (Å, degrees): 3.3556 3.3556 12.5652 90.00 90.00 120.00
Fractional positions:
Nb 0.0000 0.0000 0.0000
Mo 0.0000 0.0000 0.5000
Se 0.3333 0.6667 0.3703
Se 0.3333 0.6667 0.6297
Se 0.6667 0.3333 0.1355
Se 0.6667 0.3333 0.8645

=====

4.
VASP calculation (PBEsol) on an optimized crystal structure of NbSi3Mo.

Values from the calculation:
Raw total energy in eV per atom: -6.63
Volume in A^3/atom: 21.10
N(E_F) in states/eV per cell: 3.9
Energy relative to the elements, uncorrected in eV/atom: 1.336
Calculated density in Mg/m³: 4.30
Space-group type: No. 221

Lattice parameters (Å, degrees): 4.7254 4.7254 4.7254 90.00 90.00 90.00
Fractional positions:
Nb 0.0000 0.0000 0.0000
Si 0.0000 0.0000 0.5000
Si 0.0000 0.5000 0.0000
Si 0.5000 0.0000 0.0000
Mo 0.5000 0.5000 0.5000

=====

5.
VASP calculation (PBEsol) on an optimized crystal structure of NbSi4Mo.

Values from the calculation:
Raw total energy in eV per atom: -8.20
Volume in A^3/atom: 13.81
N(E_F) in states/eV per cell: 5.8
Energy relative to the elements, uncorrected in eV/atom: -0.605
Calculated density in Mg/m³: 6.03
Space-group type: No. 3

Lattice parameters (Å, degrees): 4.6767 13.0459 4.6926 90.00 119.72 90.00
Fractional positions:
Nb 0.0000 0.0000 0.0000
Nb 0.0000 0.4986 0.0000
Nb 0.5000 0.6659 0.0000
Si 0.1763 0.1669 0.3406
Si 0.1788 0.6671 0.3415
Si 0.3360 0.4980 0.6567
Si 0.3375 0.8328 0.1786
Si 0.3387 0.9995 0.6640
Si 0.3417 0.3316 0.1754
Si 0.6583 0.3316 0.8246
Si 0.6613 0.9995 0.3360
Si 0.6625 0.8328 0.8214
Si 0.6640 0.4980 0.3433
Si 0.8212 0.6671 0.6585
Si 0.8237 0.1669 0.6594
Mo 0.0000 0.3317 0.5000
Mo 0.0000 0.8328 0.5000
Mo 0.5000 0.1669 0.0000

=====

6.
VASP calculation (PBEsol) on an optimized crystal structure of Y2NbSiMo.

Values from the calculation:
Raw total energy in eV per atom: -7.53
Volume in A^3/atom: 25.28
N(E_F) in states/eV per cell: 7.3
Energy relative to the elements, uncorrected in eV/atom: 0.866
Calculated density in Mg/m³: 5.19
Space-group type: No. 123

Lattice parameters (Å, degrees): 5.2058 5.2058 4.6648 90.00 90.00 90.00
Fractional positions:
Y 0.0000 0.5000 0.0000
Y 0.5000 0.0000 0.0000
Nb 0.0000 0.0000 0.5000
Si 0.0000 0.0000 0.0000
Mo 0.5000 0.5000 0.5000